The following is a DFT calculation (PBE) of CaCd2Ge2O6 after structural relaxation.

Total energy, Ry per atom: -0.389
E_form (uncorrected), eV per atom: -1.394
Symmetry: P-3 (147)

```
CaCd2Ge2O6
1.0
5.779 0.000 0.000
-2.889 5.005 0.000
0.000 0.000 5.755
Ca Cd Ge O
1 2 2 6
direct
0.000 0.000 0.000 Ca
0.333 0.667 0.634 Cd
0.667 0.333 0.366 Cd
0.333 0.667 0.129 Ge
0.667 0.333 0.871 Ge
0.304 0.938 0.250 O
0.634 0.696 0.250 O
0.062 0.366 0.250 O
0.696 0.062 0.750 O
0.366 0.304 0.750 O
0.938 0.634 0.750 O
```